[1]
Density functional theory data (PBE) for a geometry-optimized CaRu structure.

## Properties
SG: P6_3/m
Formation enthalpy at 0 K (meV per atom): 650.9

abc: 11.528 11.528 4.035
angles: 90.00 90.00 120.00
Fractional coordinates of all 12 atoms:
Ca 0.185 0.439 0.750
Ca 0.815 0.561 0.250
Ru 0.015 0.555 0.750
Ca 0.439 0.254 0.250
Ru 0.445 0.460 0.750
Ca 0.746 0.185 0.250
Ru 0.555 0.540 0.250
Ru 0.460 0.015 0.250
Ru 0.985 0.445 0.250
Ca 0.561 0.746 0.750
Ca 0.254 0.815 0.750
Ru 0.540 0.985 0.750

***

[2]
Density functional theory data (PBE) for a geometry-optimized CaRu structure.

## Properties
SG: P2_13
Formation enthalpy at 0 K (meV per atom): 685.6

abc: 5.460 5.460 5.460
angles: 90.00 90.00 90.00
Site moments in Bohr magnetons follow the coordinates.
Fractional coordinates of all 8 atoms:
Ru 0.105 0.105 0.105  0.06
Ca 0.908 0.092 0.592  0.00
Ru 0.605 0.395 0.895  0.06
Ru 0.395 0.895 0.605  0.06
Ru 0.895 0.605 0.395  0.06
Ca 0.408 0.408 0.408  0.00
Ca 0.592 0.908 0.092  0.00
Ca 0.092 0.592 0.908  0.00

***

[3]
Density functional theory data (PBE) for a geometry-optimized CaRu4 structure.

## Properties
SG: Pm-3m
Formation enthalpy at 0 K (meV per atom): 2565.9

abc: 4.552 4.552 4.552
angles: 90.00 90.00 90.00
Site moments in Bohr magnetons follow the coordinates.
Fractional coordinates of all 5 atoms:
Ru 0.500 0.500 0.000  0.18
Ru 0.500 0.000 0.500  0.18
Ca 0.500 0.500 0.500  0.00
Ru 0.000 0.500 0.500  0.18
Ru 0.000 0.000 0.000  1.84

***

[4]
Density functional theory data (PBE) for a geometry-optimized CaRu structure.

## Properties
SG: Pnma
Formation enthalpy at 0 K (meV per atom): 163.3

abc: 4.213 5.659 8.277
angles: 90.00 90.00 90.00
Fractional coordinates of all 8 atoms:
Ca 0.750 0.899 0.180
Ru 0.750 0.081 0.528
Ca 0.250 0.101 0.820
Ru 0.750 0.419 0.028
Ca 0.250 0.399 0.320
Ru 0.250 0.919 0.472
Ca 0.750 0.601 0.680
Ru 0.250 0.581 0.972

***

[5]
Density functional theory data (PBE) for a geometry-optimized Ca3Ru structure.

## Properties
SG: P4/mmm
Formation enthalpy at 0 K (meV per atom): 178.4

abc: 3.545 3.545 9.408
angles: 90.00 90.00 90.06
Fractional coordinates of all 4 atoms:
Ru 0.500 0.500 0.250
Ca 0.000 0.000 0.422
Ca 0.000 0.000 0.078
Ca 0.500 0.500 0.750

***

[6]
Density functional theory data (PBE) for a geometry-optimized CaRu structure.

## Properties
SG: Pmmm
Formation enthalpy at 0 K (meV per atom): 524.4

abc: 4.392 2.764 3.234
angles: 90.00 90.00 90.00
Fractional coordinates of all 2 atoms:
Ca 0.000 0.000 0.000
Ru 0.500 0.500 0.500

***

[7]
Density functional theory data (PBE) for a geometry-optimized CaRu5 structure.

## Properties
SG: Cm
Formation enthalpy at 0 K (meV per atom): 277.6

abc: 5.308 5.308 6.714
angles: 76.51 76.51 30.35
Fractional coordinates of all 6 atoms:
Ru 0.622 0.622 0.299
Ru 0.950 0.950 0.594
Ru 0.258 0.258 0.940
Ru 0.329 0.329 0.350
Ru 0.685 0.685 0.650
Ca 0.989 0.989 0.000

***

[8]
Density functional theory data (PBE) for a geometry-optimized Ca2Ru structure.

## Properties
SG: Cmcm
Formation enthalpy at 0 K (meV per atom): 321.5

abc: 7.736 7.736 5.289
angles: 90.00 90.00 152.41
Fractional coordinates of all 6 atoms:
Ca 0.739 0.261 0.750
Ca 0.439 0.561 0.750
Ru 0.900 0.100 0.250
Ca 0.261 0.739 0.250
Ru 0.100 0.900 0.750
Ca 0.561 0.439 0.250

***

| no. | volume (Å³/cell) |
| --- | --- |
| 1 | 464 |
| 2 | 163 |
| 3 | 94 |
| 4 | 197 |
| 5 | 118 |
| 6 | 39 |
| 7 | 93 |
| 8 | 147 |